Entry 1:
This record from the Alexandria database describes crystalline AgPI2 at its relaxed geometry. The functional is PBE-GGA.

Output
SG = No. 122
ΔE to the lowest computed polymorph = 0.00 eV per formula unit
crystal system = tetragonal

Structure (POSCAR):
```
AgPI2
1.0
5.740 0.000 0.000
0.000 5.740 0.000
2.870 2.870 8.227
I P Ag
4 2 2
Cartesian
4.154 1.435 2.057 I
1.585 4.305 2.057 I
4.305 4.455 6.170 I
7.175 7.024 6.170 I
2.870 2.870 0.000 P
2.870 5.740 4.114 P
0.000 0.000 0.000 Ag
5.740 2.870 4.114 Ag
```

Entry 2:
This record from the Alexandria database describes crystalline AgPI at its relaxed geometry. The functional is PBE-GGA.

Output
SG = No. 1
ΔE to the lowest computed polymorph = 0.21 eV per formula unit
crystal system = triclinic

Structure (POSCAR):
```
AgPI
1.0
4.350 0.000 0.000
2.159 4.039 0.000
0.432 0.905 10.621
Ag P I
2 2 2
Cartesian
5.256 2.812 1.303 Ag
2.934 2.469 3.493 Ag
5.013 2.674 5.068 P
5.171 4.015 3.468 P
4.620 3.964 7.152 I
0.966 0.316 0.007 I
```

Entry 3:
This record from the Alexandria database describes crystalline AgPI at its relaxed geometry. The functional is PBE-GGA.

Output
SG = No. 8
ΔE to the lowest computed polymorph = 0.38 eV per formula unit
crystal system = monoclinic

Structure (POSCAR):
```
AgPI
1.0
6.249 0.000 -0.023
0.000 4.089 0.000
-5.497 0.000 16.529
Ag P I
4 4 4
Cartesian
5.007 0.000 0.847 Ag
2.259 2.044 9.111 Ag
-0.293 0.000 13.076 Ag
2.455 2.044 4.812 Ag
1.769 0.000 5.989 P
-0.979 2.044 14.253 P
2.902 0.000 7.751 P
0.154 2.044 16.015 P
-0.763 0.000 6.915 I
-3.511 2.044 15.179 I
1.603 0.000 11.067 I
4.351 2.044 2.803 I
```

Entry 4:
This record from the Alexandria database describes crystalline AgPI at its relaxed geometry. The functional is PBE-GGA.

Output
SG = No. 1
ΔE to the lowest computed polymorph = 0.51 eV per formula unit
crystal system = triclinic

Structure (POSCAR):
```
AgPI
1.0
-2.611 2.078 -1.346
-2.970 -2.059 4.719
2.950 5.914 3.927
Ag P I
2 2 2
Cartesian
-4.076 1.269 2.999 Ag
-2.720 1.685 5.581 Ag
-1.437 3.530 6.739 P
0.221 7.399 2.538 P
0.621 4.395 5.348 I
-1.586 2.425 2.773 I
```

Entry 5:
This record from the Alexandria database describes crystalline AgPI at its relaxed geometry. The functional is PBE-GGA.

Output
SG = No. 12
ΔE to the lowest computed polymorph = 0.20 eV per formula unit
crystal system = monoclinic

Structure (POSCAR):
```
AgPI
1.0
-7.525 -5.982 5.865
2.816 -3.772 -0.234
3.945 2.618 5.273
I P Ag
4 4 4
Cartesian
-5.330 -4.355 6.047 I
1.750 0.990 5.091 I
-1.949 -4.932 8.567 I
1.186 -2.205 2.337 I
-1.244 -1.328 6.421 P
-2.336 -2.037 4.717 P
-1.809 -4.523 3.667 P
1.045 -2.614 7.237 P
-0.380 -0.540 4.137 Ag
-3.200 -2.824 7.001 Ag
3.001 -1.118 6.657 Ag
-3.765 -6.019 4.247 Ag
```

Entry 6:
This record from the Alexandria database describes crystalline AgPI at its relaxed geometry. The functional is PBE-GGA.

Output
SG = No. 2
ΔE to the lowest computed polymorph = 0.03 eV per formula unit
crystal system = triclinic

Structure (POSCAR):
```
AgPI
1.0
-0.229 0.369 3.206
3.371 -2.426 0.520
9.165 9.326 -0.353
Ag P I
2 2 2
Cartesian
9.009 4.191 2.640 Ag
3.298 3.078 0.734 Ag
6.521 4.308 2.451 P
5.785 2.961 0.922 P
1.729 1.250 2.461 I
10.577 6.019 0.912 I
```

Entry 7:
This record from the Alexandria database describes crystalline Ag2PPdI at its relaxed geometry. The functional is PBE-GGA.

Output
SG = No. 123
final energy = -3.372 eV/atom
crystal system = tetragonal

Structure (POSCAR):
```
Ag2PPdI
1.0
-0.549 -4.861 0.553
4.826 -0.447 0.864
-0.762 0.606 4.568
I P Pd Ag
1 1 1 2
Cartesian
1.758 -2.351 2.993 I
0.000 0.000 0.000 P
-0.381 0.303 2.284 Pd
2.413 -0.224 0.432 Ag
-0.275 -2.431 0.277 Ag
```

Entry 8:
This record from the Alexandria database describes crystalline Pr4AgPI2 at its relaxed geometry. The functional is PBE-GGA.

Output
SG = No. 10
final energy = -4.725 eV/atom
crystal system = monoclinic

Structure (POSCAR):
```
Pr4AgPI2
1.0
-0.899 3.684 1.881
-5.521 1.299 -5.181
-3.446 -3.978 6.143
Pr Ag P I
4 1 1 2
Cartesian
-2.520 1.339 0.936 Pr
-7.346 -0.335 1.907 Pr
-4.335 -2.812 3.434 Pr
-4.633 0.132 -2.472 Pr
0.000 0.000 0.000 Ag
-3.210 2.491 -1.650 P
-2.173 -0.147 4.012 I
-4.484 -1.340 0.481 I
```

Entry 9:
This record from the Alexandria database describes crystalline Rb2AgPI at its relaxed geometry. The functional is PBE-GGA.

Output
SG = No. 123
final energy = -2.872 eV/atom
crystal system = tetragonal

Structure (POSCAR):
```
Rb2AgPI
1.0
-0.739 6.113 2.637
-3.440 1.921 -5.417
-3.921 -1.343 2.013
I P Rb Ag
1 1 2 1
Cartesian
-4.050 3.346 -0.383 I
0.000 0.000 0.000 P
-1.720 0.961 -2.709 Rb
-0.370 3.057 1.319 Rb
-1.960 -0.671 1.007 Ag
```

Entry 10:
This record from the Alexandria database describes crystalline AgPRhI2 at its relaxed geometry. The functional is PBE-GGA.

Output
SG = No. 123
final energy = -3.474 eV/atom
crystal system = tetragonal

Structure (POSCAR):
```
AgPRhI2
1.0
5.695 0.000 0.000
0.000 4.341 0.000
0.000 0.000 5.695
I P Rh Ag
2 1 1 1
Cartesian
0.000 0.000 2.847 I
2.847 0.000 0.000 I
0.000 2.171 0.000 P
0.000 0.000 0.000 Rh
2.847 2.171 2.847 Ag
```

Entry 11:
This record from the Alexandria database describes crystalline AgPS2I at its relaxed geometry. The functional is PBE-GGA.

Output
SG = No. 123
ΔE to the lowest computed polymorph = 1.14 eV per formula unit
crystal system = tetragonal

Structure (POSCAR):
```
AgPS2I
1.0
5.120 0.000 0.000
0.000 5.120 0.000
0.000 0.000 5.284
I P S Ag
1 1 2 1
Cartesian
0.000 0.000 0.000 I
0.000 0.000 2.642 P
0.000 2.560 0.000 S
2.560 0.000 0.000 S
2.560 2.560 2.642 Ag
```

Entry 12:
This record from the Alexandria database describes crystalline AgPS2I at its relaxed geometry. The functional is PBE-GGA.

Output
SG = No. 123
ΔE to the lowest computed polymorph = 0.00 eV per formula unit
crystal system = tetragonal

Structure (POSCAR):
```
AgPS2I
1.0
-4.631 0.112 -1.378
1.209 -2.008 -4.227
-0.691 -4.527 1.953
I P S Ag
1 1 2 1
Cartesian
-2.057 -3.211 -1.826 I
-0.346 -2.263 0.976 P
0.605 -1.004 -2.113 S
-2.315 0.056 -0.689 S
0.000 0.000 0.000 Ag
```

Entry 13:
This record from the Alexandria database describes crystalline Ag5PS4I2 at its relaxed geometry. The functional is PBE-GGA.

Output
SG = No. 38
final energy = -3.433 eV/atom
crystal system = orthorhombic

Structure (POSCAR):
```
Ag5PS4I2
1.0
6.927 0.000 0.000
-3.464 5.672 0.000
0.000 0.000 7.604
Ag P S I
5 1 4 2
Cartesian
-1.017 2.143 1.582 Ag
2.975 0.000 3.802 Ag
-1.017 2.143 6.022 Ag
2.447 3.529 6.022 Ag
2.447 3.529 1.582 Ag
3.272 0.000 0.000 P
4.502 0.000 1.694 S
4.502 0.000 5.911 S
1.975 1.624 0.000 S
-1.489 4.048 0.000 S
4.229 3.727 3.802 I
0.766 1.944 3.802 I
```

Entry 14:
This record from the Alexandria database describes crystalline AgSb2PI at its relaxed geometry. The functional is PBE-GGA.

Output
SG = No. 123
ΔE to the lowest computed polymorph = 0.00 eV per formula unit
crystal system = tetragonal

Structure (POSCAR):
```
AgSb2PI
1.0
-3.569 3.230 -2.200
-3.500 -3.967 -0.147
-1.761 1.374 4.874
I Sb Ag P
1 2 1 1
Cartesian
-0.881 0.687 2.437 I
-1.750 -1.984 -0.073 Sb
-1.784 1.615 -1.100 Sb
-4.415 0.318 1.264 Ag
0.000 0.000 0.000 P
```

Entry 15:
This record from the Alexandria database describes crystalline AgSbPI2 at its relaxed geometry. The functional is PBE-GGA.

Output
SG = No. 123
ΔE to the lowest computed polymorph = 1.60 eV per formula unit
crystal system = tetragonal

Structure (POSCAR):
```
AgSbPI2
1.0
-2.122 3.699 -3.622
1.494 -3.311 -4.256
-4.945 -2.575 0.267
I Sb Ag P
2 1 1 1
Cartesian
0.747 -1.655 -2.128 I
-1.061 1.850 -1.811 I
-2.472 -1.288 0.134 Sb
0.000 0.000 0.000 Ag
-2.787 -1.093 -3.806 P
```

Entry 16:
This record from the Alexandria database describes crystalline AgSbPI2 at its relaxed geometry. The functional is PBE-GGA.

Output
SG = No. 123
ΔE to the lowest computed polymorph = 0.00 eV per formula unit
crystal system = tetragonal

Structure (POSCAR):
```
AgSbPI2
1.0
-4.657 -0.506 -2.765
-2.048 -3.054 4.009
-1.923 4.467 2.421
I Sb Ag P
2 1 1 1
Cartesian
-1.024 -1.527 2.004 I
-2.329 -0.253 -1.382 I
-0.961 2.234 1.210 Sb
-4.314 0.454 1.832 Ag
0.000 0.000 0.000 P
```

Entry 17:
This record from the Alexandria database describes crystalline AgSb2PI at its relaxed geometry. The functional is PBE-GGA.

Output
SG = No. 123
ΔE to the lowest computed polymorph = 1.64 eV per formula unit
crystal system = tetragonal

Structure (POSCAR):
```
AgSb2PI
1.0
-0.642 3.116 -4.366
-5.363 -0.308 0.569
0.079 4.365 3.104
I Sb Ag P
1 2 1 1
Cartesian
0.039 2.182 1.552 I
-2.681 -0.154 0.284 Sb
-0.321 1.558 -2.183 Sb
0.000 0.000 0.000 Ag
-2.963 3.586 -0.347 P
```

Entry 18:
This record from the Alexandria database describes crystalline SiAg2PI at its relaxed geometry. The functional is PBE-GGA.

Output
SG = No. 123
final energy = -2.236 eV/atom
crystal system = tetragonal

Structure (POSCAR):
```
SiAg2PI
1.0
5.205 0.000 0.000
0.000 5.521 0.000
0.000 0.000 5.205
I P Si Ag
1 1 1 2
Cartesian
0.000 0.000 0.000 I
2.602 2.760 2.602 P
0.000 2.760 0.000 Si
0.000 0.000 2.602 Ag
2.602 0.000 0.000 Ag
```

Entry 19:
This record from the Alexandria database describes crystalline Sr6AgP2I3 at its relaxed geometry. The functional is PBE-GGA.

Output
SG = No. 12
final energy = -3.507 eV/atom
crystal system = monoclinic

Structure (POSCAR):
```
Sr6AgP2I3
1.0
7.948 -0.030 -0.011
-3.998 6.870 -0.011
-1.329 -2.300 8.023
Sr Ag P I
6 1 2 3
Cartesian
4.036 2.141 6.416 Sr
2.567 4.445 1.593 Sr
-1.414 2.398 1.585 Sr
-0.162 4.565 6.416 Sr
0.054 0.094 6.408 Sr
2.784 -0.026 1.585 Sr
0.000 0.000 0.000 Ag
0.001 4.560 -0.011 P
3.949 2.280 -0.011 P
-2.662 4.564 4.000 I
5.284 -0.025 4.000 I
1.311 2.270 4.000 I
```

Entry 20:
This record from the Alexandria database describes crystalline Ag5Te4PI2 at its relaxed geometry. The functional is PBE-GGA.

Output
SG = No. 38
final energy = -3.006 eV/atom
crystal system = orthorhombic

Structure (POSCAR):
```
Ag5Te4PI2
1.0
-1.264 5.344 -4.216
-4.689 -1.467 5.230
4.185 5.073 5.176
Ag Te P I
5 4 1 2
Cartesian
-0.944 0.896 2.837 Ag
1.586 4.676 0.900 Ag
1.416 3.756 5.755 Ag
-0.509 6.720 4.406 Ag
-2.869 3.860 1.488 Ag
0.188 4.810 -1.535 Te
2.312 7.385 1.092 Te
-2.017 1.668 -0.003 Te
-3.277 -0.576 3.215 Te
-0.585 2.473 -1.951 P
-2.198 6.618 2.056 I
0.138 3.561 3.164 I
```